Compound: PuBiAs2
Source: Alexandria
Functional: PBE-GGA
Structure: optimized geometry

CIF file:
```
data_PuBiAs2
_chemical_formula_sum 'Pu3 Bi3 As6'
_cell_length_a 4.0841
_cell_length_b 4.0841
_cell_length_c 26.1159
_cell_angle_alpha 90.00
_cell_angle_beta 90.00
_cell_angle_gamma 120.00
_symmetry_space_group_name_H-M 'R -3 m'
_symmetry_Int_Tables_number 166
_symmetry_space_group_name_Hall '-R 3 2"'
loop_
_atom_site_label
_atom_site_type_symbol
_atom_site_fract_x
_atom_site_fract_y
_atom_site_fract_z
Pu1 Pu 0.0000 0.0000 0.0000
Bi1 Bi 0.0000 0.0000 0.5000
As1 As 0.0000 0.0000 0.3922
```

## Properties
Energy above the lowest structure with this stoichiometry = 0.346 eV per atom
Energy of formation from the pure elements = -0.04 eV per atom
Size of the total moment = 4.19 μB per formula unit
Calculated total energy = -6.92 eV/atom

***

Compound: Nb6P2C
Source: Alexandria
Functional: PBE-GGA
Structure: optimized geometry

CIF file:
```
data_Nb6P2C
_chemical_formula_sum 'Nb12 P4 C2'
_cell_length_a 5.5208
_cell_length_b 6.3541
_cell_length_c 9.6777
_cell_angle_alpha 90.00
_cell_angle_beta 124.17
_cell_angle_gamma 90.00
_symmetry_space_group_name_H-M 'P 1 21/c 1'
_symmetry_Int_Tables_number 14
loop_
_symmetry_equiv_pos_as_xyz
'x,y,z'
'-x,-y,-z'
'-x,y+1/2,-z+1/2'
'x,-y+1/2,z+1/2'
loop_
_atom_site_label
_atom_site_type_symbol
_atom_site_fract_x
_atom_site_fract_y
_atom_site_fract_z
Nb1 Nb 0.1079 0.1757 0.4459
Nb2 Nb 0.2905 0.6888 0.4435
Nb3 Nb 0.3827 0.0249 0.2431
P1 P 0.1868 0.1173 0.7483
C1 C 0.5000 0.0000 0.5000
```

## Properties
Energy above the lowest structure with this stoichiometry = 0.060 eV per atom
Energy of formation from the pure elements = -0.66 eV per atom
Size of the total moment = 0.00 μB per formula unit
Calculated total energy = -9.60 eV/atom

***

Compound: GeAs2S4
Source: Alexandria
Functional: PBE-GGA
Structure: optimized geometry

CIF file:
```
data_GeAs2S4
_chemical_formula_sum 'Ge2 As4 S8'
_cell_length_a 6.5991
_cell_length_b 6.5991
_cell_length_c 8.0920
_cell_angle_alpha 90.00
_cell_angle_beta 90.00
_cell_angle_gamma 90.00
_symmetry_space_group_name_H-M 'I -4 2 m'
_symmetry_Int_Tables_number 121
_symmetry_space_group_name_Hall 'I -4 2'
loop_
_atom_site_label
_atom_site_type_symbol
_atom_site_fract_x
_atom_site_fract_y
_atom_site_fract_z
Ge1 Ge 0.0000 0.0000 0.0000
As1 As 0.0000 0.5000 0.2500
S1 S 0.2124 0.2124 0.8615
```

## Properties
Uncorrected formation energy = 0.075 eV per atom
Size of the total moment = 0.00 μB per formula unit
Calculated total energy = -4.27 eV/atom

***

Compound: YOsBr
Source: Alexandria
Functional: PBE-GGA
Structure: optimized geometry

CIF file:
```
data_YOsBr
_chemical_formula_sum 'Y4 Os4 Br4'
_cell_length_a 6.8944
_cell_length_b 6.8944
_cell_length_c 6.8944
_cell_angle_alpha 90.00
_cell_angle_beta 90.00
_cell_angle_gamma 90.00
_symmetry_space_group_name_H-M 'F -4 3 m'
_symmetry_Int_Tables_number 216
_symmetry_space_group_name_Hall 'F -4 2 3'
loop_
_atom_site_label
_atom_site_type_symbol
_atom_site_fract_x
_atom_site_fract_y
_atom_site_fract_z
Y1 Y 0.0000 0.0000 0.0000
Os1 Os 0.2500 0.2500 0.7500
Br1 Br 0.2500 0.2500 0.2500
```

## Properties
Energy above the lowest structure with this stoichiometry = 1.604 eV per atom
Uncorrected formation energy = 0.634 eV per atom
Size of the total moment = 2.02 μB per formula unit
Calculated total energy = -5.82 eV/atom

***

Compound: Sm8CdPd2
Source: Alexandria
Functional: PBE-GGA
Structure: optimized geometry

CIF file:
```
data_Sm8CdPd2
_chemical_formula_sum 'Sm16 Cd2 Pd4'
_cell_length_a 18.4907
_cell_length_b 5.2554
_cell_length_c 6.9951
_cell_angle_alpha 90.00
_cell_angle_beta 109.04
_cell_angle_gamma 90.00
_symmetry_space_group_name_H-M 'C 1 2/m 1'
_symmetry_Int_Tables_number 12
loop_
_symmetry_equiv_pos_as_xyz
'x,y,z'
'-x,-y,-z'
'-x,y,-z'
'x,-y,z'
'x+1/2,y+1/2,z'
'-x+1/2,-y+1/2,-z'
'-x+1/2,y+1/2,-z'
'x+1/2,-y+1/2,z'
loop_
_atom_site_label
_atom_site_type_symbol
_atom_site_fract_x
_atom_site_fract_y
_atom_site_fract_z
Sm1 Sm 0.0304 0.0000 0.2754
Sm2 Sm 0.0949 0.5000 0.9796
Sm3 Sm 0.1769 0.5000 0.4986
Sm4 Sm 0.1978 0.0000 0.8357
Cd1 Cd 0.0000 0.5000 0.5000
Pd1 Pd 0.1734 0.0000 0.2250
```

## Properties
Energy above the lowest structure with this stoichiometry = 0.000 eV per atom
Energy of formation from the pure elements = -0.33 eV per atom
Size of the total moment = 0.00 μB per formula unit
Calculated total energy = -4.79 eV/atom

***

Compound: Na2TiPbF8
Source: Alexandria
Functional: PBE-GGA
Structure: optimized geometry

CIF file:
```
data_Na2TiPbF8
_chemical_formula_sum 'Na2 Ti1 Pb1 F8'
_cell_length_a 4.8719
_cell_length_b 7.2722
_cell_length_c 5.3407
_cell_angle_alpha 90.00
_cell_angle_beta 90.50
_cell_angle_gamma 90.00
_symmetry_space_group_name_H-M 'P 1 2/m 1'
_symmetry_Int_Tables_number 10
loop_
_symmetry_equiv_pos_as_xyz
'x,y,z'
'-x,-y,-z'
'-x,y,-z'
'x,-y,z'
loop_
_atom_site_label
_atom_site_type_symbol
_atom_site_fract_x
_atom_site_fract_y
_atom_site_fract_z
Na1 Na 0.0000 0.2480 0.0000
Ti1 Ti 0.5000 0.0000 0.5000
Pb1 Pb 0.5000 0.5000 0.5000
F1 F 0.1486 0.5000 0.7890
F2 F 0.2246 0.0000 0.7451
F3 F 0.3190 0.1904 0.3166
```

## Properties
Uncorrected formation energy = -2.942 eV per atom
Size of the total moment = 0.00 μB per formula unit
Calculated total energy = -5.38 eV/atom

***

Compound: LiFeSn2Ge
Source: Alexandria
Functional: PBE-GGA
Structure: optimized geometry

CIF file:
```
data_LiFeSn2Ge
_chemical_formula_sum 'Li1 Fe1 Sn2 Ge1'
_cell_length_a 4.8836
_cell_length_b 4.8836
_cell_length_c 4.5899
_cell_angle_alpha 90.00
_cell_angle_beta 90.00
_cell_angle_gamma 90.00
_symmetry_space_group_name_H-M 'P 4/m m m'
_symmetry_Int_Tables_number 123
_symmetry_space_group_name_Hall '-P 4 2'
loop_
_atom_site_label
_atom_site_type_symbol
_atom_site_fract_x
_atom_site_fract_y
_atom_site_fract_z
Li1 Li 0.0000 0.0000 0.0000
Fe1 Fe 0.0000 0.0000 0.5000
Sn1 Sn 0.0000 0.5000 0.5000
Ge1 Ge 0.5000 0.5000 0.0000
```

## Properties
Energy of formation from the pure elements = 0.36 eV per atom
Size of the total moment = 1.92 μB per formula unit
Calculated total energy = -4.24 eV/atom